Entry 1:
Below is crystalline PrThAu at its relaxed geometry, with properties calculated at the PBE-GGA level.

```
data_PrThAu
_chemical_formula_sum 'Pr4 Th4 Au4'
_cell_length_a 7.262
_cell_length_b 7.262
_cell_length_c 7.262
_cell_angle_alpha 90.00
_cell_angle_beta 90.00
_cell_angle_gamma 90.00
_space_group_name_H-M_alt 'F -4 3 m'
_space_group_IT_number 216
_space_group_name_Hall 'F -4 2 3'
loop_
_atom_site_label
_atom_site_type_symbol
_atom_site_fract_x
_atom_site_fract_y
_atom_site_fract_z
_atom_site_occupancy
Pr1 Pr 0.000 0.000 0.000 1
Th1 Th 0.000 0.000 0.500 1
Au1 Au 0.250 0.250 0.250 1
```

Properties
* E_form: -183 meV/atom

---

Entry 2:
Below is crystalline YFeGePt at its relaxed geometry, with properties calculated at the PBE-GGA level.

```
data_YFeGePt
_chemical_formula_sum 'Y4 Fe4 Ge4 Pt4'
_cell_length_a 6.629
_cell_length_b 6.629
_cell_length_c 6.629
_cell_angle_alpha 90.00
_cell_angle_beta 90.00
_cell_angle_gamma 90.00
_space_group_name_H-M_alt 'F -4 3 m'
_space_group_IT_number 216
_space_group_name_Hall 'F -4 2 3'
loop_
_atom_site_label
_atom_site_type_symbol
_atom_site_fract_x
_atom_site_fract_y
_atom_site_fract_z
_atom_site_occupancy
Y1 Y 0.000 0.000 0.000 1
Fe1 Fe 0.000 0.000 0.500 1
Ge1 Ge 0.250 0.250 0.250 1
Pt1 Pt 0.250 0.250 0.750 1
```

Properties
* ΔE to the lowest computed polymorph: 0.0089 eV/atom

---

Entry 3:
Below is crystalline LuHfNi2As2 at its relaxed geometry, with properties calculated at the PBE-GGA level.

```
data_LuHfNi2As2
_chemical_formula_sum 'Lu2 Hf2 Ni4 As4'
_cell_length_a 3.9727
_cell_length_b 3.9727
_cell_length_c 14.4700
_cell_angle_alpha 90.00
_cell_angle_beta 90.00
_cell_angle_gamma 120.00
_space_group_name_H-M_alt 'P 63/m m c'
_space_group_IT_number 194
_space_group_name_Hall '-P 6c 2c'
loop_
_atom_site_label
_atom_site_type_symbol
_atom_site_fract_x
_atom_site_fract_y
_atom_site_fract_z
_atom_site_occupancy
Lu1 Lu 0.0000 0.0000 0.0000 1
Hf1 Hf 0.0000 0.0000 0.2500 1
Ni1 Ni 0.3333 0.6667 0.1551 1
As1 As 0.3333 0.6667 0.6195 1
```

Properties
* ΔE to the lowest computed polymorph: 0.0000 eV/atom

---

Entry 4:
Below is crystalline TcSbW at its relaxed geometry, with properties calculated at the PBE-GGA level.

```
data_TcSbW
_chemical_formula_sum 'Tc4 Sb4 W4'
_cell_length_a 6.152
_cell_length_b 6.152
_cell_length_c 6.152
_cell_angle_alpha 90.00
_cell_angle_beta 90.00
_cell_angle_gamma 90.00
_space_group_name_H-M_alt 'F -4 3 m'
_space_group_IT_number 216
_space_group_name_Hall 'F -4 2 3'
loop_
_atom_site_label
_atom_site_type_symbol
_atom_site_fract_x
_atom_site_fract_y
_atom_site_fract_z
_atom_site_occupancy
Tc1 Tc 0.000 0.000 0.000 1
Sb1 Sb 0.250 0.250 0.750 1
W1 W 0.250 0.250 0.250 1
```

Properties
* ΔE to the lowest computed polymorph: 0.0000 eV/atom

---

Entry 5:
Below is crystalline KGaPt at its relaxed geometry, with properties calculated at the PBE-GGA level.

```
data_KGaPt
_chemical_formula_sum 'K4 Ga4 Pt4'
_cell_length_a 7.013
_cell_length_b 7.013
_cell_length_c 7.013
_cell_angle_alpha 90.00
_cell_angle_beta 90.00
_cell_angle_gamma 90.00
_space_group_name_H-M_alt 'F -4 3 m'
_space_group_IT_number 216
_space_group_name_Hall 'F -4 2 3'
loop_
_atom_site_label
_atom_site_type_symbol
_atom_site_fract_x
_atom_site_fract_y
_atom_site_fract_z
_atom_site_occupancy
K1 K 0.000 0.000 0.000 1
Ga1 Ga 0.250 0.250 0.750 1
Pt1 Pt 0.250 0.250 0.250 1
```

---

Entry 6:
Below is crystalline PmAl4P at its relaxed geometry, with properties calculated at the PBE-GGA level.

```
data_PmAl4P
_chemical_formula_sum 'Pm3 Al12 P3'
_cell_length_a 4.1638
_cell_length_b 4.1638
_cell_length_c 26.3753
_cell_angle_alpha 90.00
_cell_angle_beta 90.00
_cell_angle_gamma 120.00
_space_group_name_H-M_alt 'R -3 m'
_space_group_IT_number 166
_space_group_name_Hall '-R 3 2"'
loop_
_atom_site_label
_atom_site_type_symbol
_atom_site_fract_x
_atom_site_fract_y
_atom_site_fract_z
_atom_site_occupancy
Pm1 Pm 0.0000 0.0000 0.0000 1
Al1 Al 0.0000 0.0000 0.1222 1
Al2 Al 0.0000 0.0000 0.4060 1
P1 P 0.0000 0.0000 0.5000 1
```

---

Entry 7:
Below is crystalline LuCuBMo at its relaxed geometry, with properties calculated at the PBE-GGA level.

```
data_LuCuBMo
_chemical_formula_sum 'Lu4 Cu4 B4 Mo4'
_cell_length_a 6.268
_cell_length_b 6.268
_cell_length_c 6.268
_cell_angle_alpha 90.00
_cell_angle_beta 90.00
_cell_angle_gamma 90.00
_space_group_name_H-M_alt 'F -4 3 m'
_space_group_IT_number 216
_space_group_name_Hall 'F -4 2 3'
loop_
_atom_site_label
_atom_site_type_symbol
_atom_site_fract_x
_atom_site_fract_y
_atom_site_fract_z
_atom_site_occupancy
Lu1 Lu 0.000 0.000 0.000 1
Cu1 Cu 0.000 0.000 0.500 1
B1 B 0.250 0.250 0.250 1
Mo1 Mo 0.250 0.250 0.750 1
```

Properties
* ΔE to the lowest computed polymorph: 0.1944 eV/atom

---

Entry 8:
Below is crystalline FeP2Os at its relaxed geometry, with properties calculated at the PBE-GGA level.

```
data_FeP2Os
_chemical_formula_sum 'Fe4 P8 Os4'
_cell_length_a 5.114
_cell_length_b 5.114
_cell_length_c 10.150
_cell_angle_alpha 90.00
_cell_angle_beta 90.00
_cell_angle_gamma 90.00
_space_group_name_H-M_alt 'I -4 2 d'
_space_group_IT_number 122
_space_group_name_Hall 'I -4 2bw'
loop_
_atom_site_label
_atom_site_type_symbol
_atom_site_fract_x
_atom_site_fract_y
_atom_site_fract_z
_atom_site_occupancy
Fe1 Fe 0.000 0.000 0.000 1
P1 P 0.233 0.750 0.125 1
Os1 Os 0.000 0.000 0.500 1
```

---

Entry 9:
Below is crystalline Tm5Ir3 at its relaxed geometry, with properties calculated at the PBE-GGA level.

```
data_Tm5Ir3
_chemical_formula_sum 'Tm20 Ir12'
_cell_length_a 10.725
_cell_length_b 10.725
_cell_length_c 6.266
_cell_angle_alpha 90.00
_cell_angle_beta 90.00
_cell_angle_gamma 90.00
_space_group_name_H-M_alt 'P 4/n c c'
_space_group_IT_number 130
loop_
_space_group_symop_operation_xyz
'x,y,z'
'-x,-y,-z'
'-y+1/2,x,z'
'y+1/2,-x,-z'
'-x+1/2,-y+1/2,z'
'x+1/2,y+1/2,-z'
'y,-x+1/2,z'
'-y,x+1/2,-z'
'x+1/2,-y,-z+1/2'
'-x+1/2,y,z+1/2'
'-y,-x,-z+1/2'
'y,x,z+1/2'
'-x,y+1/2,-z+1/2'
'x,-y+1/2,z+1/2'
'y+1/2,x+1/2,-z+1/2'
'-y+1/2,-x+1/2,z+1/2'
loop_
_atom_site_label
_atom_site_type_symbol
_atom_site_fract_x
_atom_site_fract_y
_atom_site_fract_z
_atom_site_occupancy
Tm1 Tm 0.041 0.163 0.124 1
Tm2 Tm 0.250 0.750 0.000 1
Ir1 Ir 0.096 0.596 0.750 1
Ir2 Ir 0.250 0.250 0.378 1
```

Properties
* ΔE to the lowest computed polymorph: 0.0000 eV/atom
* E_form: -876 meV/atom

---

Entry 10:
Below is crystalline LaPrZn4Pt2 at its relaxed geometry, with properties calculated at the PBE-GGA level.

```
data_LaPrZn4Pt2
_chemical_formula_sum 'La2 Pr2 Zn8 Pt4'
_cell_length_a 7.433
_cell_length_b 4.307
_cell_length_c 10.065
_cell_angle_alpha 90.00
_cell_angle_beta 90.00
_cell_angle_gamma 90.00
_space_group_name_H-M_alt 'A m m 2'
_space_group_IT_number 38
loop_
_space_group_symop_operation_xyz
'x,y,z'
'-x,-y,z'
'-x,y,z'
'x,-y,z'
'x,y+1/2,z+1/2'
'-x,-y+1/2,z+1/2'
'-x,y+1/2,z+1/2'
'x,-y+1/2,z+1/2'
loop_
_atom_site_label
_atom_site_type_symbol
_atom_site_fract_x
_atom_site_fract_y
_atom_site_fract_z
_atom_site_occupancy
La1 La 0.000 0.000 0.000 1
Pr1 Pr 0.500 0.000 0.854 1
Zn1 Zn 0.196 0.000 0.286 1
Zn2 Zn 0.308 0.000 0.569 1
Pt1 Pt 0.000 0.000 0.713 1
Pt2 Pt 0.500 0.000 0.143 1
```

Properties
* E_form: -704 meV/atom

---

| no. | volume (Å³/atom) | final energy (eV/atom) |
| --- | --- | --- |
| 1 | 31.91 | -5.334 |
| 2 | 18.21 | -6.678 |
| 3 | 16.48 | -6.782 |
| 4 | 19.40 | -8.959 |
| 5 | 28.75 | -2.705 |
| 6 | 22.00 | -4.217 |
| 7 | 15.39 | -5.405 |
| 8 | 16.59 | -7.627 |
| 9 | 22.52 | -6.993 |
| 10 | 20.14 | -4.063 |